## YZrMn (GGA-PBE)

Data for crystalline YZrMn at its relaxed geometry.

The structure in POSCAR format:
```
YZrMn
1.0
-1.6419 -4.2384 -4.6552
1.6226 -4.1389 -4.7504
0.1314 -2.9182 1.4638
Y Zr Mn
1 1 1
direct
0.6364 0.6364 0.3636 Y
0.3768 0.3768 0.6232 Zr
0.9869 0.9869 0.0131 Mn
```

Summary:
Its space group is I4mm (107). The density of states at the Fermi level comes out at 0.5626 states/eV per atom. Its energy of formation is 0.131 eV per atom.



## PrSm2Ho3 (GGA-PBE)

Data for crystalline PrSm2Ho3 at its relaxed geometry.

The structure in POSCAR format:
```
PrSm2Ho3
1.0
-4.6919 -0.5499 2.9993
-3.4965 -4.5190 -6.2982
2.2178 -7.9596 2.0100
Ho Sm Pr
6 4 2
direct
0.9930 0.3391 0.0090 Ho
0.4930 0.9910 0.6609 Ho
0.4930 0.6609 0.9910 Ho
0.4925 0.0602 0.0602 Ho
0.9930 0.0090 0.3391 Ho
0.9925 0.9398 0.9398 Ho
0.4932 0.3944 0.7348 Sm
0.4932 0.7348 0.3944 Sm
0.9932 0.2652 0.6056 Sm
0.9932 0.6056 0.2652 Sm
0.4931 0.3189 0.3189 Pr
0.9931 0.6811 0.6811 Pr
```

Summary:
Its space group is Cmcm (63). The density of states at the Fermi level comes out at 1.6165 states/eV per atom. Its energy of formation is 0.049 eV per atom.



## DyLuFeCu (GGA-PBE)

Data for crystalline DyLuFeCu at its relaxed geometry.

The structure in POSCAR format:
```
DyLuFeCu
1.0
-3.4814 2.9224 -1.3377
-0.7602 0.8286 -4.6028
-3.8699 -1.7358 -2.1121
Fe Cu Dy Lu
1 1 1 1
direct
0.7500 0.7500 0.7500 Fe
0.2500 0.2500 0.2500 Cu
0.5000 0.5000 0.5000 Dy
0.0000 0.0000 0.0000 Lu
```

Summary:
Its space group is F-43m (216). The density of states at the Fermi level comes out at 0.7552 states/eV per atom. Its energy of formation is -0.057 eV per atom.



## TaCdSe2 (GGA-PBE)

Data for crystalline TaCdSe2 at its relaxed geometry.

The structure in POSCAR format:
```
TaCdSe2
1.0
3.7462 0.0000 0.0000
0.0000 3.7453 0.0000
0.0000 0.0000 5.6953
Cd Se Ta
1 2 1
direct
0.5000 0.5000 0.7869 Cd
0.0000 0.0000 0.9791 Se
0.5000 0.5000 0.2968 Se
0.0000 0.0000 0.4372 Ta
```

Summary:
Its space group is P4mm (99). The calculation puts the formation energy without anion corrections at 0.1 eV/f.u. The density of states at the Fermi level comes out at 0.6258 states/eV per atom.



## LiCePuCd (GGA-PBE)

Data for crystalline LiCePuCd at its relaxed geometry.

The structure in POSCAR format:
```
LiCePuCd
1.0
-1.9906 4.6949 0.2594
-4.6408 0.6978 2.0120
-0.4997 2.3148 4.5237
Li Pu Ce Cd
1 1 1 1
direct
0.0000 0.0000 0.0000 Li
0.7500 0.7500 0.7500 Pu
0.5000 0.5000 0.5000 Ce
0.2500 0.2500 0.2500 Cd
```

Summary:
Its space group is F-43m (216). The density of states at the Fermi level comes out at 1.5087 states/eV per atom. Its energy of formation is 0.050 eV per atom.



## Tm7BI12 (GGA-PBE)

Data for crystalline Tm7BI12 at its relaxed geometry.

The structure in POSCAR format:
```
Tm7BI12
1.0
9.1204 -0.2135 -2.7882
-3.7098 8.3345 -2.7882
-0.1422 -0.2135 9.5360
I Tm B
12 7 1
direct
0.6124 0.5334 0.8464 I
0.0772 0.6873 0.2253 I
0.5334 0.8464 0.6124 I
0.7747 0.9228 0.3127 I
0.9228 0.3127 0.7747 I
0.6873 0.2253 0.0772 I
0.1536 0.3876 0.4666 I
0.3127 0.7747 0.9228 I
0.4666 0.1536 0.3876 I
0.8464 0.6124 0.5334 I
0.3876 0.4666 0.1536 I
0.2253 0.0772 0.6873 I
0.9690 0.7115 0.9029 Tm
0.7115 0.9029 0.9690 Tm
0.5000 0.5000 0.5000 Tm
0.0310 0.2885 0.0971 Tm
0.9029 0.9690 0.7115 Tm
0.2885 0.0971 0.0310 Tm
0.0971 0.0310 0.2885 Tm
0.0000 0.0000 0.0000 B
```

Summary:
Its space group is R-3 (148). The calculation puts the formation energy without anion corrections at -23.1 eV/f.u. The density of states at the Fermi level comes out at 0.4888 states/eV per atom.



## InTcSN2 (GGA-PBE)

Data for crystalline InTcSN2 at its relaxed geometry.

The structure in POSCAR format:
```
InTcSN2
1.0
-2.0787 -2.9163 1.9798
0.9517 -2.6774 -2.9447
4.6645 -1.4229 2.8013
In N S Tc
1 2 1 1
direct
0.0000 0.0000 0.0000 In
0.0000 0.5000 0.0000 N
0.5000 0.0000 0.0000 N
0.0000 0.0000 0.5000 S
0.5000 0.5000 0.5000 Tc
```

Summary:
Its space group is P4/mmm (123). The calculation puts the formation energy without anion corrections at 9.4 eV/f.u. The density of states at the Fermi level comes out at 0.6558 states/eV per atom.



## Sc8C4Se3 (GGA-PBE)

Data for crystalline Sc8C4Se3 at its relaxed geometry.

The structure in POSCAR format:
```
Sc8C4Se3
1.0
7.0264 -0.0842 -0.1210
-3.4143 6.2817 0.1516
-3.4143 -2.0385 5.9437
Sc C Se
8 4 3
direct
0.5000 0.7692 0.2308 Sc
0.5000 0.2308 0.7692 Sc
0.0000 0.7709 0.2291 Sc
0.5513 0.7981 0.7981 Sc
0.9710 0.2212 0.2212 Sc
0.0290 0.7788 0.7788 Sc
0.4487 0.2019 0.2019 Sc
0.0000 0.2291 0.7709 Sc
0.0000 0.5000 0.0000 C
0.0000 0.0000 0.0000 C
0.0000 0.0000 0.5000 C
0.5000 0.0000 0.0000 C
0.5000 0.0000 0.5000 Se
0.5000 0.5000 0.0000 Se
0.5000 0.5000 0.5000 Se
```

Summary:
Its space group is C2/m (12). The calculation puts the formation energy without anion corrections at -12.1 eV/f.u. The density of states at the Fermi level comes out at 0.4552 states/eV per atom.



## AcEu2Sb (GGA-PBE)

Data for crystalline AcEu2Sb at its relaxed geometry.

The structure in POSCAR format:
```
AcEu2Sb
1.0
5.7534 0.0000 0.0000
2.8767 4.9826 0.0000
2.8767 1.6609 4.6976
Eu Sb Ac
2 1 1
direct
0.2500 0.2500 0.2500 Eu
0.7500 0.7500 0.7500 Eu
0.5000 0.5000 0.5000 Sb
0.0000 0.0000 0.0000 Ac
```

Summary:
Its space group is Fm-3m (225). The calculation puts the formation energy without anion corrections at -1.1 eV/f.u. The density of states at the Fermi level comes out at 1.1787 states/eV per atom.



## KSrTa2Ga (GGA-PBE)

Data for crystalline KSrTa2Ga at its relaxed geometry.

The structure in POSCAR format:
```
KSrTa2Ga
1.0
5.1807 0.0000 0.0000
0.0000 5.5714 0.0000
0.0000 0.0000 5.1807
Sr Ta K Ga
1 2 1 1
direct
0.0000 0.0000 0.0000 Sr
0.5000 0.0000 0.0000 Ta
0.0000 0.0000 0.5000 Ta
0.0000 0.5000 0.0000 K
0.5000 0.5000 0.5000 Ga
```

Summary:
Its space group is P4/mmm (123). The density of states at the Fermi level comes out at 1.1607 states/eV per atom. Its energy of formation is 2.486 eV per atom.



## Sr2ScB (GGA-PBE)

Data for crystalline Sr2ScB at its relaxed geometry.

The structure in POSCAR format:
```
Sr2ScB
1.0
11.0580 0.0000 0.0000
0.0000 11.0580 0.0000
5.5290 5.5290 2.3141
B Sr Sc
2 4 2
direct
0.5000 0.5000 0.0000 B
0.2500 0.7500 0.5000 B
0.8750 0.7092 0.7500 Sr
0.3750 0.5408 0.7500 Sr
0.2908 0.6250 0.2500 Sr
0.4592 0.1250 0.2500 Sr
0.0000 0.0000 0.0000 Sc
0.7500 0.2500 0.5000 Sc
```

Summary:
Its space group is I-42d (122). The density of states at the Fermi level comes out at 1.6932 states/eV per atom. Its energy of formation is 0.465 eV per atom.



## NdScPd (GGA-PBE)

Data for crystalline NdScPd at its relaxed geometry.

The structure in POSCAR format:
```
NdScPd
1.0
-2.0909 -2.6907 -0.6735
2.7695 -1.9783 -0.6942
-0.0734 0.6879 6.4370
Sc Nd Pd
1 1 1
direct
0.2967 0.2967 0.5935 Sc
0.0150 0.0150 0.0301 Nd
0.6882 0.6882 0.3765 Pd
```

Summary:
Its space group is I4mm (107). The density of states at the Fermi level comes out at 0.9315 states/eV per atom. Its energy of formation is -0.502 eV per atom.



## RbTlPb (GGA-PBE)

Data for crystalline RbTlPb at its relaxed geometry.

The structure in POSCAR format:
```
RbTlPb
1.0
4.2857 -0.0253 -0.0012
0.0543 7.7526 -0.0493
-2.1251 2.0477 6.9669
Tl Rb Pb
2 2 2
direct
0.1881 0.1709 0.8749 Tl
0.8119 0.8291 0.1251 Tl
0.5000 0.5000 0.5000 Rb
0.5000 0.0000 0.5000 Rb
0.8087 0.3580 0.1169 Pb
0.1913 0.6420 0.8831 Pb
```

Summary:
Its space group is P-1 (2). The density of states at the Fermi level comes out at 0.5763 states/eV per atom. Its energy of formation is -0.092 eV per atom.



## Hg3H2Pd2 (GGA-PBE)

Data for crystalline Hg3H2Pd2 at its relaxed geometry.

The structure in POSCAR format:
```
Hg3H2Pd2
1.0
2.9489 0.0061 -0.0134
1.4699 4.4260 0.9534
-0.0399 -1.2358 8.8686
Pd Hg H
2 3 2
direct
0.2444 0.5182 0.1525 Pd
0.7556 0.4818 0.8475 Pd
0.5746 0.8502 0.3672 Hg
0.4254 0.1498 0.6328 Hg
0.5000 0.0000 0.0000 Hg
0.1754 0.6378 0.7727 H
0.8246 0.3622 0.2273 H
```

Summary:
Its space group is P-1 (2). The density of states at the Fermi level comes out at 0.2675 states/eV per atom. The final energy comes out at -17.94 eV for the cell shown.



## SiNiCl2 (GGA-PBE)

Data for crystalline SiNiCl2 at its relaxed geometry.

The structure in POSCAR format:
```
SiNiCl2
1.0
-6.6466 -2.7954 -4.1712
-6.7325 -4.6733 -1.4917
-8.0348 -1.6710 -1.4285
Cl Ni Si
2 1 1
direct
0.9762 0.9762 0.9762 Cl
0.5238 0.5238 0.5238 Cl
0.2500 0.2500 0.2500 Ni
0.7500 0.7500 0.7500 Si
```

Summary:
Its space group is R-3m (166). The calculation puts the formation energy without anion corrections at 0.4 eV/f.u. The density of states at the Fermi level comes out at 0.4018 states/eV per atom.



## PmDyPdPb (GGA-PBE)

Data for crystalline PmDyPdPb at its relaxed geometry.

The structure in POSCAR format:
```
PmDyPdPb
1.0
-2.8287 -4.4507 -0.1685
-0.3424 -2.7396 -4.4962
2.4363 -4.6591 -0.4425
Pb Pd Pm Dy
1 1 1 1
direct
0.0000 0.0000 0.0000 Pb
0.5000 0.5000 0.5000 Pd
0.7500 0.7500 0.7500 Pm
0.2500 0.2500 0.2500 Dy
```

Summary:
Its space group is F-43m (216). The density of states at the Fermi level comes out at 0.5409 states/eV per atom. Its energy of formation is -0.599 eV per atom.



## Fe2ReRu (GGA-PBE)

Data for crystalline Fe2ReRu at its relaxed geometry.

The structure in POSCAR format:
```
Fe2ReRu
1.0
8.5373 -0.0417 -0.0245
8.1192 2.6393 -0.0245
8.1192 1.2662 2.3158
Ru Re Fe
1 1 2
direct
0.7481 0.7481 0.7481 Ru
0.5018 0.5018 0.5018 Re
0.2538 0.2538 0.2538 Fe
0.9962 0.9962 0.9962 Fe
```

Summary:
Its space group is R3m (160). The density of states at the Fermi level comes out at 1.1275 states/eV per atom. Its energy of formation is 0.153 eV per atom.



## Y2Ho5Bi4 (GGA-PBE)

Data for crystalline Y2Ho5Bi4 at its relaxed geometry.

The structure in POSCAR format:
```
Y2Ho5Bi4
1.0
-3.3573 0.8142 0.5776
-1.3680 0.0349 -8.0008
0.1145 -12.6894 7.9339
Ho Y Bi
5 2 4
direct
0.5000 0.0000 0.0000 Ho
0.1695 0.8534 0.3390 Ho
0.8612 0.7743 0.7223 Ho
0.1388 0.2257 0.2777 Ho
0.8305 0.1466 0.6610 Ho
0.7324 0.6467 0.4649 Y
0.2676 0.3533 0.5351 Y
0.4012 0.5413 0.8025 Bi
0.0493 0.7910 0.0986 Bi
0.9507 0.2090 0.9014 Bi
0.5988 0.4587 0.1975 Bi
```

Summary:
Its space group is C2/m (12). The density of states at the Fermi level comes out at 0.9259 states/eV per atom. Its energy of formation is -0.206 eV per atom.